# Sr2TlB2O6 | Alexandria via LeMat-Bulk | GGA-PBE | optimized geometry
# **Total magnetization**: 0.000 μB per atom
# **Mass density**: 4.8 g/cm3
# **Uncorrected formation energy**: -2.3322 eV/atom
data_Sr2TlB2O6
_chemical_formula_sum 'Sr2 Tl1 B2 O6'
_space_group_name_H-M_alt 'P -1'
_space_group_IT_number 2
_cell_length_a 5.494
_cell_length_b 5.696
_cell_length_c 6.578
_cell_angle_alpha 113.75
_cell_angle_beta 101.97
_cell_angle_gamma 104.88
loop_
_space_group_symop_operation_xyz
'x,y,z'
'-x,-y,-z'
loop_
_atom_site_label
_atom_site_fract_x
_atom_site_fract_y
_atom_site_fract_z
Sr1 0.235 0.103 0.319
Tl1 0.500 0.500 0.000
B1 0.032 0.508 0.252
O1 0.084 0.295 0.674
O2 0.116 0.769 0.893
O3 0.316 0.615 0.337